Density functional theory data (meta-GGA SCAN) for a crystal of Sn3OsN relaxed with PBEsol.

Output
Symmetry: Pm-3m (221)
Formation energy (no corrections): 1.0366 eV/atom
D(E_F): 0.486 states/eV per atom

The structure in extended XYZ format:
```
5
Lattice="5.020 0.000 0.000 0.000 5.020 0.000 0.000 0.000 5.020" Properties=species:S:1:pos:R:3 pbc="T T T"
Sn 0.000 0.000 2.510
Sn 0.000 2.510 0.000
Sn 2.510 0.000 0.000
Os 0.000 0.000 0.000
N 2.510 2.510 2.510
```